Ba2GeP3Pd12: optimized geometry, PBE.

The value obtained for the calculated formation energy is -0.385 eV per atom.

The space group is R-3m (No. 166, hexagonal axes) and the conventional cell measures 8.3988, 8.3988 and 19.0184 Å, with angles of 90.00, 90.00 and 120.00 degrees. The inequivalent atoms are Ba at (0.0000, 0.0000, 0.1139), Ge at (0.0000, 0.0000, 0.5000), P at (0.0000, 0.5000, 0.0000), Pd at (0.0266, 0.5133, 0.1181) and Pd at (0.0583, 0.5292, 0.3537).

***

BaGePPt6: optimized geometry, PBE.

The value obtained for the calculated formation energy is -0.349 eV per atom.

The space group is Imma (No. 74) and the conventional cell measures 7.687, 8.530 and 11.623 Å, with angles of 90.00, 90.00 and 90.00 degrees. The inequivalent atoms are Ba at (0.000, 0.250, 0.152), Ge at (0.250, 0.250, 0.750), P at (0.000, 0.000, 0.500), Pt at (0.000, 0.250, 0.425), Pt at (0.000, 0.250, 0.877) and Pt at (0.229, 0.025, 0.623).

***

Ba3GeP2Pt8: optimized geometry, PBE.

The value obtained for the calculated formation energy is -0.568 eV per atom.

The space group is P-3m1 (No. 164) and the conventional cell measures 6.5825, 6.5825 and 9.8603 Å, with angles of 90.00, 90.00 and 120.00 degrees. The inequivalent atoms are Ba at (0.0000, 0.0000, 0.0000), Ba at (0.3333, 0.6667, 0.6179), Ge at (0.0000, 0.0000, 0.5000), P at (0.3333, 0.6667, 0.2614), Pt at (0.1404, 0.2807, 0.3069) and Pt at (0.3333, 0.6667, 0.0404).

***

BaGePPt3: optimized geometry, PBE.

The value obtained for the calculated formation energy is -0.720 eV per atom.

The space group is Cmcm (No. 63) and the conventional cell measures 6.696, 12.716 and 6.362 Å, with angles of 90.00, 90.00 and 90.00 degrees. The inequivalent atoms are Ba at (0.000, 0.248, 0.250), Ge at (0.000, 0.051, 0.750), P at (0.000, 0.421, 0.750), Pt at (0.000, 0.243, 0.750) and Pt at (0.212, 0.500, 0.000).

***

Ba2GePPt6: optimized geometry, PBE.

The value obtained for the calculated formation energy is -0.741 eV per atom.

The space group is C2/m (No. 12) and the conventional cell measures 11.417, 6.602 and 6.861 Å, with angles of 90.00, 123.63 and 90.00 degrees. The inequivalent atoms are Ba at (0.211, 0.000, 0.132), Ge at (0.000, 0.500, 0.000), P at (0.000, 0.000, 0.500), Pt at (0.045, 0.290, 0.346) and Pt at (0.245, 0.000, 0.654).

***

BaGePRh3: optimized geometry, PBE.

The value obtained for the calculated formation energy is -0.660 eV per atom.

The space group is Cmcm (No. 63) and the conventional cell measures 5.910, 14.241 and 5.901 Å, with angles of 90.00, 90.00 and 90.00 degrees. The inequivalent atoms are Ba at (0.000, 0.248, 0.250), Ge at (0.000, 0.092, 0.750), P at (0.000, 0.422, 0.750), Rh at (0.000, 0.264, 0.750) and Rh at (0.241, 0.500, 0.000).

***

BaGePRh: optimized geometry, PBE.

The value obtained for the calculated formation energy is -0.678 eV per atom.

The space group is P4/nmm (No. 129, origin choice 2) and the conventional cell measures 3.952, 3.952 and 12.071 Å, with angles of 90.00, 90.00 and 90.00 degrees. The inequivalent atoms are Ba at (0.250, 0.250, 0.245), Ge at (0.250, 0.750, 0.000), P at (0.250, 0.250, 0.609) and Rh at (0.250, 0.750, 0.500).

***

BaGePRu: optimized geometry, PBE.

The value obtained for the calculated formation energy is -0.669 eV per atom.

The space group is P4/nmm (No. 129, origin choice 2) and the conventional cell measures 4.027, 4.027 and 11.847 Å, with angles of 90.00, 90.00 and 90.00 degrees. The inequivalent atoms are Ba at (0.250, 0.250, 0.247), Ge at (0.250, 0.750, 0.000), P at (0.250, 0.250, 0.600) and Ru at (0.250, 0.750, 0.500).

***

BaGeP2S8: optimized geometry, PBE.

Its uncorrected formation energy is -6.14 eV/f.u.

The space group is P-3 (No. 147) and the conventional cell measures 5.9674, 5.9674 and 8.9580 Å, with angles of 90.00, 90.00 and 120.00 degrees. The inequivalent atoms are Ba at (0.0000, 0.0000, 0.0000), Ge at (0.0000, 0.0000, 0.5000), P at (0.3333, 0.6667, 0.7332), S at (0.0024, 0.3233, 0.6734) and S at (0.3333, 0.6667, 0.9573).

***

BaGePS2: optimized geometry, PBE.

Its uncorrected formation energy is 5.68 eV/f.u. For the energy above the most stable polymorph in this dataset, the calculation gives 1635 meV per atom.

The space group is P4/mmm (No. 123) and the conventional cell measures 5.814, 5.814 and 6.603 Å, with angles of 90.00, 90.00 and 90.00 degrees. The inequivalent atoms are Ba at (0.000, 0.000, 0.000), Ge at (0.000, 0.000, 0.500), P at (0.500, 0.500, 0.500) and S at (0.000, 0.500, 0.000).

***

BaGePS2: optimized geometry, PBE.

Its uncorrected formation energy is 4.69 eV/f.u. For the energy above the most stable polymorph in this dataset, the calculation gives 1437 meV per atom.

The space group is P4/mmm (No. 123) and the conventional cell measures 5.645, 5.645 and 5.561 Å, with angles of 90.00, 90.00 and 90.00 degrees. The inequivalent atoms are Ba at (0.000, 0.000, 0.000), Ge at (0.500, 0.500, 0.500), P at (0.000, 0.000, 0.500) and S at (0.000, 0.500, 0.000).

***

BaGeP2S: optimized geometry, PBE.

Its uncorrected formation energy is 6.35 eV/f.u. For the energy above the most stable polymorph in this dataset, the calculation gives 1443 meV per atom.

The space group is P4/mmm (No. 123) and the conventional cell measures 5.526, 5.526 and 5.597 Å, with angles of 90.00, 90.00 and 90.00 degrees. The inequivalent atoms are Ba at (0.000, 0.000, 0.000), Ge at (0.500, 0.500, 0.500), P at (0.000, 0.500, 0.000) and S at (0.000, 0.000, 0.500).

***

BaGePS6: optimized geometry, PBE.

Its uncorrected formation energy is -3.51 eV/f.u.

The space group is P312 (No. 149) and the conventional cell measures 6.0181, 6.0181 and 7.1143 Å, with angles of 90.00, 90.00 and 120.00 degrees. The inequivalent atoms are Ba at (0.0000, 0.0000, 0.0000), Ge at (0.3333, 0.6667, 0.5000), P at (0.6667, 0.3333, 0.5000) and S at (0.3883, 0.0210, 0.6902).

***

BaGeP2S: optimized geometry, PBE.

Its uncorrected formation energy is -0.87 eV/f.u. For the energy above the most stable polymorph in this dataset, the calculation gives 0 meV per atom.

The space group is P4/mmm (No. 123) and the conventional cell measures 4.840, 4.840 and 5.112 Å, with angles of 90.00, 90.00 and 90.00 degrees. The inequivalent atoms are Ba at (0.000, 0.000, 0.000), Ge at (0.500, 0.500, 0.500), P at (0.000, 0.500, 0.500) and S at (0.500, 0.500, 0.000).

***

BaGePS2: optimized geometry, PBE.

Its uncorrected formation energy is -2.50 eV/f.u. For the energy above the most stable polymorph in this dataset, the calculation gives 0 meV per atom.

The space group is P4/mmm (No. 123) and the conventional cell measures 5.017, 5.017 and 4.723 Å, with angles of 90.00, 90.00 and 90.00 degrees. The inequivalent atoms are Ba at (0.000, 0.000, 0.000), Ge at (0.500, 0.500, 0.500), P at (0.500, 0.500, 0.000) and S at (0.000, 0.500, 0.500).

***

BaTa2GeP: optimized geometry, PBE.

The value obtained for the calculated formation energy is 0.992 eV per atom.

The space group is P4/mmm (No. 123) and the conventional cell measures 4.928, 4.928 and 5.283 Å, with angles of 90.00, 90.00 and 90.00 degrees. The inequivalent atoms are Ba at (0.000, 0.000, 0.000), Ta at (0.000, 0.500, 0.500), Ge at (0.500, 0.500, 0.500) and P at (0.500, 0.500, 0.000).

***

BaTcGeP: optimized geometry, PBE.

The value obtained for the calculated formation energy is -0.546 eV per atom.

The space group is P4/nmm (No. 129, origin choice 2) and the conventional cell measures 3.968, 3.968 and 12.214 Å, with angles of 90.00, 90.00 and 90.00 degrees. The inequivalent atoms are Ba at (0.250, 0.250, 0.243), Tc at (0.250, 0.750, 0.500), Ge at (0.250, 0.750, 0.000) and P at (0.250, 0.250, 0.610).

***

Ba2PaGe3Pt4: optimized geometry, PBE.

The value obtained for the calculated formation energy is -0.731 eV per atom.

The space group is P-4m2 (No. 115) and the conventional cell measures 4.511, 4.511 and 11.187 Å, with angles of 90.00, 90.00 and 90.00 degrees. The inequivalent atoms are Ba at (0.000, 0.500, 0.233), Pa at (0.000, 0.000, 0.500), Ge at (0.000, 0.500, 0.887), Ge at (0.500, 0.500, 0.500), Pt at (0.000, 0.000, 0.000), Pt at (0.000, 0.500, 0.651) and Pt at (0.500, 0.500, 0.000).

***

BaPaGeS5: optimized geometry, PBE.

Its uncorrected formation energy is -10.21 eV/f.u.

The space group is C2/c (No. 15) and the conventional cell measures 8.893, 11.757 and 9.764 Å, with angles of 90.00, 114.54 and 90.00 degrees. The inequivalent atoms are Ba at (0.000, 0.162, 0.250), Pa at (0.000, 0.500, 0.000), Ge at (0.000, 0.186, 0.750), S at (0.000, 0.426, 0.250), S at (0.107, 0.289, 0.603) and S at (0.186, 0.061, 0.925).

***

Ba2PaGeS6: optimized geometry, PBE.

Its uncorrected formation energy is -14.34 eV/f.u.

The space group is P4/mmm (No. 123) and the conventional cell measures 5.149, 5.149 and 10.201 Å, with angles of 90.00, 90.00 and 90.00 degrees. The inequivalent atoms are Ba at (0.000, 0.000, 0.213), Pa at (0.500, 0.500, 0.500), Ge at (0.500, 0.500, 0.000), S at (0.000, 0.500, 0.000), S at (0.000, 0.500, 0.500) and S at (0.500, 0.500, 0.248).

***

Result set for total magnetic moment: 0.0, 0.0, 0.0, 0.0, 0.0, 0.0, 0.0, 0.0, 0.0, 3.5, 0.3, 0.1, 0.5, 0.0, 0.0, 0.9, 0.1, 0.0, 0.0, 0.0 μB/f.u., one per record in the order listed.